[1]
! NaSmNb (PBE-GGA, optimized geometry); values from VASP
! * spin magnetization: 3.71 μB/f.u.
! * space-group type: F-43m, No. 216
! * V: 32.01 Å³/atom
! * relative energy among the computed polymorphs: 0 meV/atom
&SYSTEM
  ibrav = 0, nat = 3, ntyp = 3
/
ATOMIC_SPECIES
Na 22.99 Na.upf
Sm 150.36 Sm.upf
Nb 92.91 Nb.upf
ATOMIC_POSITIONS crystal
Na 0.0000 0.0000 0.0000
Sm 0.5000 0.5000 0.5000
Nb 0.2500 0.2500 0.2500
CELL_PARAMETERS angstrom
0.0000 3.6347 3.6347
3.6347 0.0000 3.6347
3.6347 3.6347 0.0000

***

[2]
! KHo2Cd4 (PBE-GGA, optimized geometry); values from VASP
! * spin magnetization: 0.04 μB/f.u.
! * calculated total energy: -1.9451 eV per atom
! * space-group type: C2/m, No. 12
! * V: 29.24 Å³/atom
&SYSTEM
  ibrav = 0, nat = 7, ntyp = 3
/
ATOMIC_SPECIES
K 39.10 K.upf
Ho 164.93 Ho.upf
Cd 112.41 Cd.upf
ATOMIC_POSITIONS crystal
K 0.0000 0.0000 0.0000
Ho 0.0000 0.5000 0.5000
Ho 0.5000 0.0000 0.5000
Cd 0.3287 0.3287 0.4954
Cd 0.3410 0.6590 0.0000
Cd 0.6590 0.3410 0.0000
Cd 0.6713 0.6713 0.5046
CELL_PARAMETERS angstrom
4.3159 -6.0615 0.0000
4.3159 6.0615 0.0000
-0.0270 0.0000 3.9116

***

[3]
! SmCd (PBE-GGA, optimized geometry); values from VASP
! * spin magnetization: 0.43 μB/f.u.
! * space-group type: Pm-3m, No. 221
! * ΔH_f (0 K): -329 meV/atom
! * V: 27.29 Å³/atom
&SYSTEM
  ibrav = 0, nat = 2, ntyp = 2
/
ATOMIC_SPECIES
Sm 150.36 Sm.upf
Cd 112.41 Cd.upf
ATOMIC_POSITIONS crystal
Sm 0.0000 0.0000 0.0000
Cd 0.5000 0.5000 0.5000
CELL_PARAMETERS angstrom
3.7934 0.0000 0.0000
0.0000 3.7934 0.0000
0.0000 0.0000 3.7934

***

[4]
! PmH (PBE-GGA, optimized geometry); values from VASP
! * spin magnetization: 0.00 μB/f.u.
! * space-group type: P-6m2, No. 187
! * V: 16.70 Å³/atom
! * relative energy among the computed polymorphs: 219 meV/atom
&SYSTEM
  ibrav = 0, nat = 2, ntyp = 2
/
ATOMIC_SPECIES
Pm 145.00 Pm.upf
H 1.01 H.upf
ATOMIC_POSITIONS crystal
Pm 0.0000 0.0000 0.0000
H 0.3333 0.6667 0.5000
CELL_PARAMETERS angstrom
3.3935 0.0000 0.0000
-1.6968 2.9389 0.0000
0.0000 0.0000 3.3500

***

[5]
! LiYAu2 (PBE-GGA, optimized geometry); values from VASP
! * spin magnetization: 0.01 μB/f.u.
! * space-group type: P6_3/mmc, No. 194
! * V: 20.44 Å³/atom
! * relative energy among the computed polymorphs: 0 meV/atom
&SYSTEM
  ibrav = 0, nat = 8, ntyp = 3
/
ATOMIC_SPECIES
Li 6.94 Li.upf
Y 88.91 Y.upf
Au 196.97 Au.upf
ATOMIC_POSITIONS crystal
Li 0.0000 0.0000 0.0000
Li 0.0000 0.0000 0.5000
Y 0.3333 0.6667 0.2500
Y 0.6667 0.3333 0.7500
Au 0.3333 0.6667 0.5843
Au 0.3333 0.6667 0.9157
Au 0.6667 0.3333 0.0843
Au 0.6667 0.3333 0.4157
CELL_PARAMETERS angstrom
4.5438 0.0000 0.0000
-2.2719 3.9351 0.0000
0.0000 0.0000 9.1448